{"formula": "Li2Au3Cl6", "functional": "GGA-PBE", "state": "optimized geometry", "e_form_raw_ev_per_atom": -0.73, "dos_ef_per_ev_atom": 1.426, "magmom_total_mub_per_fu": 0.00, "volume_a3_per_cell": 537.19, "cell": [[6.3012, 0.0000, 1.7578], [2.9145, 5.5444, 1.7250], [-0.8090, -0.4727, 15.0729]], "species": ["Li", "Li", "Li", "Li", "Au", "Au", "Au", "Au", "Au", "Au", "Cl", "Cl", "Cl", "Cl", "Cl", "Cl", "Cl", "Cl", "Cl", "Cl", "Cl", "Cl"], "fractional_positions": [[0.3349, 0.8369, 0.9933], [0.8349, 0.3369, 0.4933], [0.6651, 0.1631, 0.0067], [0.1651, 0.6631, 0.5067], [0.0290, 0.9761, 0.7496], [0.4705, 0.2500, 0.7500], [0.7546, 0.5239, 0.7504], [0.2454, 0.4761, 0.2496], [0.9710, 0.0239, 0.2504], [0.5295, 0.7500, 0.2500], [0.0184, 0.8777, 0.9057], [0.3788, 0.1995, 0.9063], [0.7023, 0.5145, 0.9067], [0.1983, 0.3777, 0.4057], [0.8765, 0.0145, 0.4067], [0.5153, 0.6995, 0.4063], [0.9816, 0.1223, 0.0943], [0.6212, 0.8005, 0.0937], [0.2977, 0.4855, 0.0933], [0.8017, 0.6223, 0.5943], [0.1235, 0.9855, 0.5933], [0.4847, 0.3005, 0.5937]]}

***

{"formula": "Ga3MoSe", "functional": "GGA-PBE", "state": "optimized geometry", "e_form_raw_ev_per_atom": 1.28, "dos_ef_per_ev_atom": 1.111, "magmom_total_mub_per_fu": 0.00, "volume_a3_per_cell": 112.22, "e_above_lowest_polymorph_mev_per_atom": 698.1, "cell": [[4.8234, 0.0000, 0.0000], [0.0000, 4.8234, 0.0000], [0.0000, 0.0000, 4.8234]], "species": ["Mo", "Ga", "Ga", "Ga", "Se"], "fractional_positions": [[0.5000, 0.5000, 0.5000], [0.0000, 0.5000, 0.0000], [0.0000, 0.0000, 0.5000], [0.5000, 0.0000, 0.0000], [0.0000, 0.0000, 0.0000]]}

***

{"formula": "TaCuNF2", "functional": "GGA-PBE", "state": "optimized geometry", "e_form_raw_ev_per_atom": -0.17, "dos_ef_per_ev_atom": 0.366, "magmom_total_mub_per_fu": 1.58, "volume_a3_per_cell": 76.80, "e_above_lowest_polymorph_mev_per_atom": 830.0, "cell": [[-0.7886, -0.8466, 3.2271], [-2.7466, -1.7176, -1.1218], [3.6098, -5.4198, -0.5398]], "species": ["N", "F", "F", "Cu", "Ta"], "fractional_positions": [[0.0000, 0.0000, 0.5000], [0.0000, 0.5000, 0.0000], [0.5000, 0.0000, 0.0000], [0.0000, 0.0000, 0.0000], [0.5000, 0.5000, 0.5000]]}

***

{"formula": "Er3Rh2Pb", "functional": "GGA-PBE", "state": "optimized geometry", "dos_ef_per_ev_atom": 0.560, "magmom_total_mub_per_fu": 0.00, "volume_a3_per_cell": 134.27, "e_form_mev_per_atom": -771, "cell": [[-1.4821, 2.2570, -2.0549], [-1.2964, -2.5335, -1.8477], [-9.4977, -0.0755, 6.7673]], "species": ["Er", "Er", "Er", "Rh", "Rh", "Pb"], "fractional_positions": [[0.0000, 0.0000, 0.0000], [0.0000, 0.0000, 0.7073], [0.0000, 0.0000, 0.2927], [0.5000, 0.5000, 0.8490], [0.5000, 0.5000, 0.1510], [0.5000, 0.5000, 0.5000]]}

***

{"formula": "Na3TlAu", "functional": "GGA-PBE", "state": "optimized geometry", "dos_ef_per_ev_atom": 0.310, "magmom_total_mub_per_fu": 0.00, "volume_a3_per_cell": 307.40, "e_form_mev_per_atom": -156, "e_above_lowest_polymorph_mev_per_atom": 9.8, "cell": [[-2.5064, 1.4386, 6.7444], [-6.0568, -2.5212, -3.2859], [5.3038, -5.2453, -1.0097]], "species": ["Na", "Na", "Na", "Na", "Na", "Na", "Tl", "Tl", "Au", "Au"], "fractional_positions": [[0.8442, 0.0324, 0.2653], [0.2329, 0.4211, 0.2653], [0.7671, 0.5789, 0.7347], [0.7127, 0.4442, 0.1569], [0.1558, 0.9676, 0.7347], [0.2873, 0.5558, 0.8431], [0.7247, 0.0726, 0.7973], [0.2753, 0.9274, 0.2027], [0.6242, 0.7669, 0.3911], [0.3758, 0.2331, 0.6089]]}

***

{"formula": "Ce11Rh4Pb9", "functional": "GGA-PBE", "state": "optimized geometry", "dos_ef_per_ev_atom": 2.595, "magmom_total_mub_per_fu": 9.82, "volume_a3_per_cell": 639.19, "e_form_mev_per_atom": -544, "cell": [[-3.9693, -0.1907, -0.9440], [-2.0975, -7.5978, 10.3541], [-1.2686, 12.6493, 2.7782]], "species": ["Ce", "Ce", "Ce", "Ce", "Ce", "Ce", "Ce", "Ce", "Ce", "Ce", "Ce", "Rh", "Rh", "Rh", "Rh", "Pb", "Pb", "Pb", "Pb", "Pb", "Pb", "Pb", "Pb", "Pb"], "fractional_positions": [[0.0000, 0.5837, 0.9207], [0.0000, 0.4163, 0.0793], [0.0000, 0.9207, 0.5837], [0.0000, 0.0793, 0.4163], [0.0000, 0.6275, 0.3725], [0.0000, 0.3725, 0.6275], [0.0000, 0.8412, 0.1588], [0.0000, 0.1588, 0.8412], [0.0000, 0.0000, 0.0000], [0.0000, 0.6891, 0.6891], [0.0000, 0.3109, 0.3109], [0.5000, 0.5490, 0.7543], [0.5000, 0.4510, 0.2457], [0.5000, 0.7543, 0.5490], [0.5000, 0.2457, 0.4510], [0.5000, 0.6300, 0.1510], [0.5000, 0.3700, 0.8490], [0.5000, 0.1510, 0.6300], [0.5000, 0.8490, 0.3700], [0.5000, 0.7812, 0.9285], [0.5000, 0.2188, 0.0715], [0.5000, 0.9285, 0.7812], [0.5000, 0.0715, 0.2188], [0.5000, 0.5000, 0.5000]]}